Record 1
DFT (PBE) results for an optimized crystal structure of Na2DyPa2Te6.

Geometry as CIF:
```
data_Na2DyPa2Te6
_symmetry_space_group_name_H-M 'P 1'
_symmetry_Int_Tables_number 1
_symmetry_space_group_name_Hall 'P 1'
_cell_length_a 7.5547
_cell_length_b 7.5547
_cell_length_c 8.1273
_cell_angle_alpha 98.88
_cell_angle_beta 98.88
_cell_angle_gamma 120.08
loop_
_atom_site_label
_atom_site_type_symbol
_atom_site_fract_x
_atom_site_fract_y
_atom_site_fract_z
Na1 Na 0.1657 0.8343 0.0000
Na2 Na 0.8343 0.1657 0.0000
Dy1 Dy 0.0000 0.0000 0.5000
Pa1 Pa 0.3333 0.6667 0.5000
Pa2 Pa 0.6667 0.3333 0.5000
Te1 Te 0.0801 0.4111 0.7348
Te2 Te 0.2571 0.2571 0.2651
Te3 Te 0.4111 0.0801 0.7348
Te4 Te 0.5889 0.9199 0.2652
Te5 Te 0.7429 0.7429 0.7349
Te6 Te 0.9199 0.5889 0.2652
```

Results
magnetization: 3.0 Bohr magnetons per cell
SG: No. 12
formation energy from raw total energies: -0.9976 eV per atom
crystal system: monoclinic



Record 2
DFT (PBE) results for an optimized crystal structure of Zr2CoIr.

Geometry as CIF:
```
data_Zr2CoIr
_symmetry_space_group_name_H-M 'P 1'
_symmetry_Int_Tables_number 1
_symmetry_space_group_name_Hall 'P 1'
_cell_length_a 3.3695
_cell_length_b 4.2752
_cell_length_c 9.9950
_cell_angle_alpha 90.00
_cell_angle_beta 99.64
_cell_angle_gamma 90.00
loop_
_atom_site_label
_atom_site_type_symbol
_atom_site_fract_x
_atom_site_fract_y
_atom_site_fract_z
Zr1 Zr 0.0586 0.2500 0.1156
Zr2 Zr 0.1937 0.7500 0.3877
Zr3 Zr 0.8063 0.2500 0.6123
Zr4 Zr 0.9414 0.7500 0.8844
Co1 Co 0.4454 0.2500 0.8916
Co2 Co 0.5546 0.7500 0.1084
Ir1 Ir 0.3335 0.7500 0.6674
Ir2 Ir 0.6665 0.2500 0.3326
```

Results
energy: -70.8 eV for the cell shown
magnetization: 0.0 Bohr magnetons per cell
SG: No. 11
crystal system: monoclinic



Record 3
DFT (PBE) results for an optimized crystal structure of YCrBr2.

Geometry as CIF:
```
data_YCrBr2
_symmetry_space_group_name_H-M 'P 1'
_symmetry_Int_Tables_number 1
_symmetry_space_group_name_Hall 'P 1'
_cell_length_a 5.2458
_cell_length_b 5.2458
_cell_length_c 5.2458
_cell_angle_alpha 60.00
_cell_angle_beta 60.00
_cell_angle_gamma 60.00
loop_
_atom_site_label
_atom_site_type_symbol
_atom_site_fract_x
_atom_site_fract_y
_atom_site_fract_z
Y1 Y 0.0000 0.0000 0.0000
Cr1 Cr 0.2500 0.2500 0.2500
Br1 Br 0.5000 0.5000 0.5000
Br2 Br 0.7500 0.7500 0.7500
```

Results
magnetization: 5.0 Bohr magnetons per cell
SG: No. 216
formation energy from raw total energies: -0.0347 eV per atom
crystal system: cubic



Record 4
DFT (PBE) results for an optimized crystal structure of LiAu2Cl.

Geometry as CIF:
```
data_LiAu2Cl
_symmetry_space_group_name_H-M 'P 1'
_symmetry_Int_Tables_number 1
_symmetry_space_group_name_Hall 'P 1'
_cell_length_a 13.7779
_cell_length_b 13.7779
_cell_length_c 13.7779
_cell_angle_alpha 164.43
_cell_angle_beta 164.43
_cell_angle_gamma 22.09
loop_
_atom_site_label
_atom_site_type_symbol
_atom_site_fract_x
_atom_site_fract_y
_atom_site_fract_z
Li1 Li 0.0000 0.0000 0.0000
Li2 Li 0.7500 0.2500 0.5000
Au1 Au 0.1247 0.6250 0.9997
Au2 Au 0.3750 0.3747 0.4997
Au3 Au 0.6253 0.1250 0.0003
Au4 Au 0.8750 0.8753 0.5003
Cl1 Cl 0.2500 0.7500 0.5000
Cl2 Cl 0.5000 0.5000 0.0000
```

Results
magnetization: 0.0 Bohr magnetons per cell
SG: No. 122
formation energy from raw total energies: -0.5298 eV per atom
crystal system: tetragonal



Record 5
DFT (PBE) results for an optimized crystal structure of Nd2AgI.

Geometry as CIF:
```
data_Nd2AgI
_symmetry_space_group_name_H-M 'P 1'
_symmetry_Int_Tables_number 1
_symmetry_space_group_name_Hall 'P 1'
_cell_length_a 8.0630
_cell_length_b 8.0630
_cell_length_c 8.0630
_cell_angle_alpha 31.55
_cell_angle_beta 31.55
_cell_angle_gamma 31.55
loop_
_atom_site_label
_atom_site_type_symbol
_atom_site_fract_x
_atom_site_fract_y
_atom_site_fract_z
Nd1 Nd 0.2401 0.2401 0.2401
Nd2 Nd 0.7599 0.7599 0.7599
Ag1 Ag 0.5000 0.5000 0.5000
I1 I 0.0000 0.0000 0.0000
```

Results
magnetization: 0.0 Bohr magnetons per cell
SG: No. 166
formation energy from raw total energies: -0.4920 eV per atom
crystal system: trigonal